(1)
A plane-wave DFT calculation with PBE-GGA was carried out for a geometry-optimized SrHfMo2 structure.

Values from the calculation:
ΔE to the lowest computed polymorph	24.2	kJ per mole of atoms
ΔH_f (0 K)	479	kJ/mol of formula units
total DFT energy (no corrections)	-7.082	eV/atom
calculated density	6616	kg/m3

```
data_SrHfMo2
_chemical_formula_sum 'Sr4 Hf4 Mo8'
_space_group_name_H-M_alt 'I -4 2 d'
_space_group_IT_number 122
_space_group_name_Hall 'I -4 2bw'
_cell_length_a 4.907
_cell_length_b 4.907
_cell_length_c 19.100
_cell_angle_alpha 90.00
_cell_angle_beta 90.00
_cell_angle_gamma 90.00
loop_
_atom_site_label
_atom_site_type_symbol
_atom_site_fract_x
_atom_site_fract_y
_atom_site_fract_z
_atom_site_occupancy
Sr1 Sr 0.000 0.000 0.000 1
Hf1 Hf 0.000 0.000 0.500 1
Mo1 Mo 0.028 0.250 0.625 1
```


(2)
A plane-wave DFT calculation with PBE-GGA was carried out for a geometry-optimized SrHfMo2 structure.

Values from the calculation:
ΔE to the lowest computed polymorph	0.0	kJ per mole of atoms
ΔH_f (0 K)	383	kJ/mol of formula units
total DFT energy (no corrections)	-7.333	eV/atom
calculated density	9144	kg/m3

```
data_SrHfMo2
_chemical_formula_sum 'Sr4 Hf4 Mo8'
_space_group_name_H-M_alt 'F m -3 m'
_space_group_IT_number 225
_space_group_name_Hall '-F 4 2 3'
_cell_length_a 6.929
_cell_length_b 6.929
_cell_length_c 6.929
_cell_angle_alpha 90.00
_cell_angle_beta 90.00
_cell_angle_gamma 90.00
loop_
_atom_site_label
_atom_site_type_symbol
_atom_site_fract_x
_atom_site_fract_y
_atom_site_fract_z
_atom_site_occupancy
Sr1 Sr 0.000 0.000 0.000 1
Hf1 Hf 0.000 0.000 0.500 1
Mo1 Mo 0.250 0.250 0.250 1
```


(3)
A plane-wave DFT calculation with PBE-GGA was carried out for a geometry-optimized SrHf3Mo structure.

Values from the calculation:
ΔE to the lowest computed polymorph	0.0	kJ per mole of atoms
ΔH_f (0 K)	289	kJ/mol of formula units
total DFT energy (no corrections)	-7.876	eV/atom
calculated density	8601	kg/m3

```
data_SrHf3Mo
_chemical_formula_sum 'Sr1 Hf3 Mo1'
_space_group_name_H-M_alt 'P m -3 m'
_space_group_IT_number 221
_space_group_name_Hall '-P 4 2 3'
_cell_length_a 5.178
_cell_length_b 5.178
_cell_length_c 5.178
_cell_angle_alpha 90.00
_cell_angle_beta 90.00
_cell_angle_gamma 90.00
loop_
_atom_site_label
_atom_site_type_symbol
_atom_site_fract_x
_atom_site_fract_y
_atom_site_fract_z
_atom_site_occupancy
Sr1 Sr 0.000 0.000 0.000 1
Hf1 Hf 0.000 0.500 0.500 1
Mo1 Mo 0.500 0.500 0.500 1
```


(4)
A plane-wave DFT calculation with PBE-GGA was carried out for a geometry-optimized SrHf3Mo structure.

Values from the calculation:
ΔE to the lowest computed polymorph	178.6	kJ per mole of atoms
ΔH_f (0 K)	1182	kJ/mol of formula units
total DFT energy (no corrections)	-6.025	eV/atom
calculated density	9877	kg/m3

```
data_SrHf3Mo
_chemical_formula_sum 'Sr1 Hf3 Mo1'
_space_group_name_H-M_alt 'P m -3 m'
_space_group_IT_number 221
_space_group_name_Hall '-P 4 2 3'
_cell_length_a 4.945
_cell_length_b 4.945
_cell_length_c 4.945
_cell_angle_alpha 90.00
_cell_angle_beta 90.00
_cell_angle_gamma 90.00
loop_
_atom_site_label
_atom_site_type_symbol
_atom_site_fract_x
_atom_site_fract_y
_atom_site_fract_z
_atom_site_occupancy
Sr1 Sr 0.000 0.000 0.000 1
Hf1 Hf 0.000 0.000 0.500 1
Mo1 Mo 0.500 0.500 0.500 1
```


(5)
A plane-wave DFT calculation with PBE-GGA was carried out for a geometry-optimized Sr2HfMo structure.

Values from the calculation:
ΔE to the lowest computed polymorph	0.0	kJ per mole of atoms
ΔH_f (0 K)	409	kJ/mol of formula units
total DFT energy (no corrections)	-4.977	eV/atom
calculated density	4443	kg/m3

```
data_Sr2HfMo
_chemical_formula_sum 'Sr8 Hf4 Mo4'
_space_group_name_H-M_alt 'I -4 2 d'
_space_group_IT_number 122
_space_group_name_Hall 'I -4 2bw'
_cell_length_a 11.815
_cell_length_b 11.815
_cell_length_c 4.816
_cell_angle_alpha 90.00
_cell_angle_beta 90.00
_cell_angle_gamma 90.00
loop_
_atom_site_label
_atom_site_type_symbol
_atom_site_fract_x
_atom_site_fract_y
_atom_site_fract_z
_atom_site_occupancy
Sr1 Sr 0.082 0.250 0.125 1
Hf1 Hf 0.000 0.000 0.500 1
Mo1 Mo 0.000 0.000 0.000 1
```


(6)
A plane-wave DFT calculation with PBE-GGA was carried out for a geometry-optimized SrHf2Mo structure.

Values from the calculation:
ΔE to the lowest computed polymorph	0.0	kJ per mole of atoms
ΔH_f (0 K)	261	kJ/mol of formula units
total DFT energy (no corrections)	-7.427	eV/atom
calculated density	10009	kg/m3

```
data_SrHf2Mo
_chemical_formula_sum 'Sr4 Hf8 Mo4'
_space_group_name_H-M_alt 'F m -3 m'
_space_group_IT_number 225
_space_group_name_Hall '-F 4 2 3'
_cell_length_a 7.105
_cell_length_b 7.105
_cell_length_c 7.105
_cell_angle_alpha 90.00
_cell_angle_beta 90.00
_cell_angle_gamma 90.00
loop_
_atom_site_label
_atom_site_type_symbol
_atom_site_fract_x
_atom_site_fract_y
_atom_site_fract_z
_atom_site_occupancy
Sr1 Sr 0.000 0.000 0.000 1
Hf1 Hf 0.250 0.250 0.250 1
Mo1 Mo 0.000 0.000 0.500 1
```


(7)
A plane-wave DFT calculation with PBE-GGA was carried out for a geometry-optimized SrHf2Mo structure.

Values from the calculation:
ΔE to the lowest computed polymorph	16.9	kJ per mole of atoms
ΔH_f (0 K)	329	kJ/mol of formula units
total DFT energy (no corrections)	-7.253	eV/atom
calculated density	9760	kg/m3

```
data_SrHf2Mo
_chemical_formula_sum 'Sr4 Hf8 Mo4'
_space_group_name_H-M_alt 'F -4 3 m'
_space_group_IT_number 216
_space_group_name_Hall 'F -4 2 3'
_cell_length_a 7.165
_cell_length_b 7.165
_cell_length_c 7.165
_cell_angle_alpha 90.00
_cell_angle_beta 90.00
_cell_angle_gamma 90.00
loop_
_atom_site_label
_atom_site_type_symbol
_atom_site_fract_x
_atom_site_fract_y
_atom_site_fract_z
_atom_site_occupancy
Sr1 Sr 0.000 0.000 0.000 1
Hf1 Hf 0.000 0.000 0.500 1
Hf2 Hf 0.250 0.250 0.250 1
Mo1 Mo 0.250 0.250 0.750 1
```


(8)
A plane-wave DFT calculation with PBE-GGA was carried out for a geometry-optimized SrHf2Mo structure.

Values from the calculation:
ΔE to the lowest computed polymorph	58.9	kJ per mole of atoms
ΔH_f (0 K)	497	kJ/mol of formula units
total DFT energy (no corrections)	-6.817	eV/atom
calculated density	6452	kg/m3

```
data_SrHf2Mo
_chemical_formula_sum 'Sr4 Hf8 Mo4'
_space_group_name_H-M_alt 'I 41/a m d'
_space_group_IT_number 141
_cell_length_a 5.735
_cell_length_b 5.735
_cell_length_c 16.920
_cell_angle_alpha 90.00
_cell_angle_beta 90.00
_cell_angle_gamma 90.00
loop_
_space_group_symop_operation_xyz
'x,y,z'
'-x,-y,-z'
'-y+1/4,x+3/4,z+1/4'
'y+1/4,-x+3/4,-z+1/4'
'-x+1/2,-y,z+1/2'
'x+1/2,y,-z+1/2'
'y+1/4,-x+1/4,z+3/4'
'-y+1/4,x+1/4,-z+3/4'
'x,-y,-z'
'-x,y,z'
'-y+1/4,-x+1/4,-z+3/4'
'y+1/4,x+1/4,z+3/4'
'-x+1/2,y,-z+1/2'
'x+1/2,-y,z+1/2'
'y+1/4,x+3/4,-z+1/4'
'-y+1/4,-x+3/4,z+1/4'
'x+1/2,y+1/2,z+1/2'
'-x+1/2,-y+1/2,-z+1/2'
'-y+3/4,x+1/4,z+3/4'
'y+3/4,-x+1/4,-z+3/4'
'-x,-y+1/2,z'
'x,y+1/2,-z'
'y+3/4,-x+3/4,z+1/4'
'-y+3/4,x+3/4,-z+1/4'
'x+1/2,-y+1/2,-z+1/2'
'-x+1/2,y+1/2,z+1/2'
'-y+3/4,-x+3/4,-z+1/4'
'y+3/4,x+3/4,z+1/4'
'-x,y+1/2,-z'
'x,-y+1/2,z'
'y+3/4,x+1/4,-z+3/4'
'-y+3/4,-x+1/4,z+3/4'
loop_
_atom_site_label
_atom_site_type_symbol
_atom_site_fract_x
_atom_site_fract_y
_atom_site_fract_z
_atom_site_occupancy
Sr1 Sr 0.000 0.250 0.375 1
Hf1 Hf 0.000 0.000 0.000 1
Mo1 Mo 0.000 0.250 0.875 1
```


(9)
A plane-wave DFT calculation with PBE-GGA was carried out for a geometry-optimized HfTaMo3 structure.

Values from the calculation:
ΔE to the lowest computed polymorph	0.0	kJ per mole of atoms
ΔH_f (0 K)	723	kJ/mol of formula units
total DFT energy (no corrections)	-9.361	eV/atom
calculated density	9998	kg/m3

```
data_HfTaMo3
_chemical_formula_sum 'Hf1 Ta1 Mo3'
_space_group_name_H-M_alt 'P m -3 m'
_space_group_IT_number 221
_space_group_name_Hall '-P 4 2 3'
_cell_length_a 4.755
_cell_length_b 4.755
_cell_length_c 4.755
_cell_angle_alpha 90.00
_cell_angle_beta 90.00
_cell_angle_gamma 90.00
loop_
_atom_site_label
_atom_site_type_symbol
_atom_site_fract_x
_atom_site_fract_y
_atom_site_fract_z
_atom_site_occupancy
Hf1 Hf 0.000 0.000 0.000 1
Ta1 Ta 0.500 0.500 0.500 1
Mo1 Mo 0.000 0.500 0.500 1
```


(10)
A plane-wave DFT calculation with PBE-GGA was carried out for a geometry-optimized HfTa2Mo structure.

Values from the calculation:
ΔE to the lowest computed polymorph	66.0	kJ per mole of atoms
ΔH_f (0 K)	235	kJ/mol of formula units
total DFT energy (no corrections)	-10.512	eV/atom
calculated density	13331	kg/m3

```
data_HfTa2Mo
_chemical_formula_sum 'Hf4 Ta8 Mo4'
_space_group_name_H-M_alt 'I -4 2 d'
_space_group_IT_number 122
_space_group_name_Hall 'I -4 2bw'
_cell_length_a 7.485
_cell_length_b 7.485
_cell_length_c 5.659
_cell_angle_alpha 90.00
_cell_angle_beta 90.00
_cell_angle_gamma 90.00
loop_
_atom_site_label
_atom_site_type_symbol
_atom_site_fract_x
_atom_site_fract_y
_atom_site_fract_z
_atom_site_occupancy
Hf1 Hf 0.000 0.000 0.000 1
Ta1 Ta 0.220 0.250 0.625 1
Mo1 Mo 0.000 0.000 0.500 1
```


(11)
A plane-wave DFT calculation with PBE-GGA was carried out for a geometry-optimized HfTa2Mo structure.

Values from the calculation:
ΔE to the lowest computed polymorph	12.8	kJ per mole of atoms
ΔH_f (0 K)	23	kJ/mol of formula units
total DFT energy (no corrections)	-11.064	eV/atom
calculated density	14461	kg/m3

```
data_HfTa2Mo
_chemical_formula_sum 'Hf1 Ta2 Mo1'
_space_group_name_H-M_alt 'P 4/m m m'
_space_group_IT_number 123
_space_group_name_Hall '-P 4 2'
_cell_length_a 4.688
_cell_length_b 4.688
_cell_length_c 3.325
_cell_angle_alpha 90.00
_cell_angle_beta 90.00
_cell_angle_gamma 90.00
loop_
_atom_site_label
_atom_site_type_symbol
_atom_site_fract_x
_atom_site_fract_y
_atom_site_fract_z
_atom_site_occupancy
Hf1 Hf 0.000 0.000 0.000 1
Ta1 Ta 0.000 0.500 0.500 1
Mo1 Mo 0.500 0.500 0.000 1
```


(12)
A plane-wave DFT calculation with PBE-GGA was carried out for a geometry-optimized HfTa3Mo4 structure.

Values from the calculation:
ΔH_f (0 K)	-116	kJ/mol of formula units
total DFT energy (no corrections)	-11.255	eV/atom
calculated density	13374	kg/m3

```
data_HfTa3Mo4
_chemical_formula_sum 'Hf1 Ta3 Mo4'
_space_group_name_H-M_alt 'P 4/m m m'
_space_group_IT_number 123
_space_group_name_Hall '-P 4 2'
_cell_length_a 4.593
_cell_length_b 4.593
_cell_length_c 6.504
_cell_angle_alpha 90.00
_cell_angle_beta 90.00
_cell_angle_gamma 90.00
loop_
_atom_site_label
_atom_site_type_symbol
_atom_site_fract_x
_atom_site_fract_y
_atom_site_fract_z
_atom_site_occupancy
Hf1 Hf 0.000 0.000 0.000 1
Ta1 Ta 0.000 0.000 0.500 1
Ta2 Ta 0.500 0.500 0.000 1
Ta3 Ta 0.500 0.500 0.500 1
Mo1 Mo 0.000 0.500 0.254 1
```